(1)
A geometry-optimized LiNd2Ga2Pt5 structure, computed with PBE.

The calculation puts the formation enthalpy at 0 K at -769 meV/atom. Its space-group type is No. 127. As for the total energy: -110.80 eV per cell.

a = 3.768 Å, b = 9.927 Å, c = 9.927 Å
α = 90.00°, β = 90.00°, γ = 90.00°
Element x y z (fractional)
1 Nd 0.000 0.677 0.177
2 Nd 0.000 0.177 0.323
3 Nd 0.000 0.823 0.677
4 Nd 0.000 0.323 0.823
5 Pt 0.500 0.500 0.000
6 Pt 0.500 0.000 0.500
7 Pt 0.500 0.705 0.438
8 Pt 0.500 0.562 0.705
9 Pt 0.500 0.795 0.938
10 Pt 0.500 0.295 0.562
11 Pt 0.500 0.062 0.795
12 Pt 0.500 0.938 0.205
13 Pt 0.500 0.205 0.062
14 Pt 0.500 0.438 0.295
15 Ga 0.000 0.123 0.623
16 Ga 0.000 0.877 0.377
17 Ga 0.000 0.377 0.123
18 Ga 0.000 0.623 0.877
19 Li 0.000 0.000 0.000
20 Li 0.000 0.500 0.500

***

(2)
A geometry-optimized CaLa2Ge3Pd4 structure, computed with PBE.

The calculation puts the formation enthalpy at 0 K at -815 meV/atom. Its space-group type is No. 115. As for the total energy: -54.63 eV per cell.

a = 4.378 Å, b = 4.378 Å, c = 11.048 Å
α = 90.00°, β = 90.00°, γ = 90.00°
Element x y z (fractional)
1 Pd 0.500 0.000 0.655
2 Pd 0.500 0.500 0.000
3 Pd 0.000 0.500 0.345
4 Pd 0.000 0.000 0.000
5 Ca 0.500 0.500 0.500
6 Ge 0.500 0.000 0.880
7 Ge 0.000 0.000 0.500
8 Ge 0.000 0.500 0.120
9 La 0.500 0.000 0.226
10 La 0.000 0.500 0.774

***

(3)
A geometry-optimized HgOsN3 structure, computed with PBE.

Its space-group type is No. 221. As for the total energy: -30.31 eV per cell.

a = 3.926 Å, b = 3.926 Å, c = 3.926 Å
α = 90.00°, β = 90.00°, γ = 90.00°
Each line ends with the local moment (μB).
Element x y z (fractional)
1 Hg 0.500 0.500 0.500  0.01
2 N 0.500 0.000 0.000  -0.07
3 N 0.000 0.500 0.000  -0.07
4 N 0.000 0.000 0.500  -0.04
5 Os 0.000 0.000 0.000  0.04

***

(4)
A geometry-optimized TePdRh structure, computed with PBE.

Its space-group type is No. 107. As for the total energy: -16.00 eV per cell.

a = 3.544 Å, b = 3.544 Å, c = 4.864 Å
α = 111.37°, β = 111.37°, γ = 90.00°
Element x y z (fractional)
1 Te 0.291 0.291 0.583
2 Rh 0.948 0.948 0.895
3 Pd 0.611 0.611 0.222

***

(5)
A geometry-optimized K3BaCa structure, computed with PBE.

The calculation puts the formation enthalpy at 0 K at 440 meV/atom. Its space-group type is No. 221. As for the total energy: -5.02 eV per cell.

a = 7.346 Å, b = 7.346 Å, c = 7.346 Å
α = 90.00°, β = 90.00°, γ = 90.00°
Element x y z (fractional)
1 K 0.000 0.000 0.500
2 K 0.000 0.500 0.000
3 K 0.500 0.000 0.000
4 Ca 0.000 0.000 0.000
5 Ba 0.500 0.500 0.500

***

(6)
A geometry-optimized SrInNi structure, computed with PBE.

The calculation puts the formation enthalpy at 0 K at -146 meV/atom. Its space-group type is No. 14. As for the total energy: -42.55 eV per cell.

a = 5.611 Å, b = 8.598 Å, c = 8.044 Å
α = 90.00°, β = 123.96°, γ = 90.00°
Element x y z (fractional)
1 In 0.476 0.323 0.699
2 In 0.976 0.177 0.699
3 In 0.524 0.677 0.301
4 In 0.024 0.823 0.301
5 Sr 0.920 0.420 0.213
6 Sr 0.080 0.580 0.787
7 Sr 0.420 0.080 0.213
8 Sr 0.580 0.920 0.787
9 Ni 0.904 0.894 0.559
10 Ni 0.596 0.394 0.441
11 Ni 0.404 0.606 0.559
12 Ni 0.096 0.106 0.441

***

(7)
A geometry-optimized PmPu5Ru6 structure, computed with PBE.

The calculation puts the formation enthalpy at 0 K at -78 meV/atom. Its space-group type is No. 2. As for the total energy: -133.00 eV per cell.

a = 4.543 Å, b = 6.969 Å, c = 8.526 Å
α = 114.06°, β = 105.50°, γ = 90.06°
Each line ends with the local moment (μB).
Element x y z (fractional)
1 Pu 0.671 0.171 0.343  -4.68
2 Pu 0.000 0.500 0.000  4.63
3 Pu 0.329 0.829 0.657  -4.68
4 Pu 0.668 0.668 0.335  4.71
5 Pu 0.332 0.332 0.665  4.71
6 Ru 0.172 0.934 0.343  0.02
7 Ru 0.171 0.409 0.343  0.02
8 Ru 0.829 0.591 0.657  0.02
9 Ru 0.828 0.066 0.657  0.02
10 Ru 0.499 0.714 0.000  -0.49
11 Ru 0.501 0.286 0.000  -0.49
12 Pm 0.000 0.000 0.000  0.02

***

(8)
A geometry-optimized UTcRuPt structure, computed with PBE.

The calculation puts the formation enthalpy at 0 K at -479 meV/atom. Its space-group type is No. 47. As for the total energy: -38.89 eV per cell.

a = 3.864 Å, b = 4.118 Å, c = 4.153 Å
α = 90.00°, β = 90.00°, γ = 90.00°
Element x y z (fractional)
1 U 0.000 0.500 0.500
2 Ru 0.500 0.500 0.000
3 Pt 0.000 0.000 0.000
4 Tc 0.500 0.000 0.500

***

(9)
A geometry-optimized CaEr4Ga5 structure, computed with PBE.

The calculation puts the formation enthalpy at 0 K at -548 meV/atom. Its space-group type is No. 123. As for the total energy: -40.87 eV per cell.

a = 3.550 Å, b = 3.550 Å, c = 18.011 Å
α = 90.00°, β = 90.00°, γ = 90.00°
Element x y z (fractional)
1 Er 0.000 0.000 0.796
2 Er 0.000 0.000 0.204
3 Er 0.000 0.000 0.598
4 Er 0.000 0.000 0.402
5 Ga 0.500 0.500 0.500
6 Ga 0.500 0.500 0.108
7 Ga 0.500 0.500 0.892
8 Ga 0.500 0.500 0.304
9 Ga 0.500 0.500 0.696
10 Ca 0.000 0.000 0.000

***

(10)
A geometry-optimized ZrZn2Rh2 structure, computed with PBE.

The calculation puts the formation enthalpy at 0 K at -488 meV/atom. Its space-group type is No. 127. As for the total energy: -56.48 eV per cell.

a = 7.246 Å, b = 7.246 Å, c = 2.964 Å
α = 90.00°, β = 90.00°, γ = 90.00°
Element x y z (fractional)
1 Zr 0.000 0.000 0.000
2 Zr 0.500 0.500 0.000
3 Rh 0.821 0.321 0.500
4 Rh 0.179 0.679 0.500
5 Rh 0.321 0.179 0.500
6 Rh 0.679 0.821 0.500
7 Zn 0.619 0.119 0.000
8 Zn 0.881 0.619 0.000
9 Zn 0.119 0.381 0.000
10 Zn 0.381 0.881 0.000

***

(11)
A geometry-optimized La3NdTlRh structure, computed with PBE.

The calculation puts the formation enthalpy at 0 K at -389 meV/atom. Its space-group type is No. 12. As for the total energy: -63.21 eV per cell.

a = 9.240 Å, b = 9.240 Å, c = 6.174 Å
α = 109.43°, β = 109.43°, γ = 48.43°
Element x y z (fractional)
1 Rh 0.999 0.999 0.233
2 Rh 0.001 0.001 0.767
3 La 0.814 0.814 0.316
4 La 0.372 0.868 0.119
5 La 0.132 0.628 0.881
6 La 0.628 0.132 0.881
7 La 0.868 0.372 0.119
8 La 0.186 0.186 0.684
9 Tl 0.306 0.306 0.305
10 Tl 0.694 0.694 0.695
11 Nd 0.297 0.703 0.500
12 Nd 0.703 0.297 0.500

***

(12)
A geometry-optimized CsCdIn2Te4 structure, computed with PBE.

Its space-group type is No. 121. As for the total energy: -22.98 eV per cell.

a = 7.372 Å, b = 8.353 Å, c = 8.353 Å
α = 52.38°, β = 63.81°, γ = 63.81°
Element x y z (fractional)
1 Te 0.147 0.853 0.442
2 Te 0.558 0.442 0.853
3 Te 0.442 0.147 0.558
4 Te 0.853 0.558 0.147
5 Cd 0.500 0.500 0.500
6 Cs 0.000 0.000 0.000
7 In 0.250 0.250 0.250
8 In 0.750 0.750 0.750

***

Q: What is the formula in the second record?
A: CaLa2Ge3Pd4